Entry 1:
Hf3FeC: optimized geometry, GGA-PBE.

Offset from the most stable computed form, eV per formula unit: 0.00
Crystal system: monoclinic
Symmetry: C2/m, No. 12

Cell: 5.629 5.629 7.254 Å, 101.16 101.16 47.15°
Fractional positions:
Hf 0.077 0.077 0.207
Hf 0.179 0.179 0.621
Hf 0.357 0.357 0.071
Hf 0.643 0.643 0.929
Hf 0.821 0.821 0.379
Hf 0.923 0.923 0.793
Fe 0.429 0.429 0.596
Fe 0.571 0.571 0.404
C 0.140 0.140 0.924
C 0.860 0.860 0.076

Entry 2:
HfFe3C: optimized geometry, GGA-PBE.

Offset from the most stable computed form, eV per formula unit: 0.00
Crystal system: cubic
Symmetry: Pm-3m, No. 221

Cell: 3.823 3.823 3.823 Å, 90.00 90.00 90.00°
Fractional positions:
Hf 0.000 0.000 0.000
Fe 0.000 0.500 0.500
Fe 0.500 0.000 0.500
Fe 0.500 0.500 0.000
C 0.500 0.500 0.500

Entry 3:
HfFe3C: optimized geometry, GGA-PBE.

Offset from the most stable computed form, eV per formula unit: 15.19
Crystal system: cubic
Symmetry: Pm-3m, No. 221

Cell: 4.576 4.576 4.576 Å, 90.00 90.00 90.00°
Fractional positions:
Hf 0.000 0.000 0.000
Fe 0.000 0.000 0.500
Fe 0.000 0.500 0.000
Fe 0.500 0.000 0.000
C 0.500 0.500 0.500